(P)
The following is a DFT calculation (PBE) of a relaxed structure of Ac3TlCu2.

a b c (Å): 4.1987 10.3146 8.7400
angles (deg): 90.00 90.00 90.00
Last column: nearest neighbours and their distance in Å.
Space group Pmc2_1 (No. 26)
Inequivalent atoms, fractional coordinates:
Ac 0.0000 0.0770 0.0000 x2  6 Cu 3.02-3.37
Ac 0.5000 0.2563 0.3721 x2  4 Cu 3.21-3.59
Ac 0.5000 0.3632 0.8088 x2  3 Cu 3.13-3.20, 4 Tl 3.43-3.45
Tl 0.0000 0.4324 0.1081 x2  7 Ac 3.43-3.78
Cu 0.0000 0.1906 0.6390 x2  2 Cu 2.56
Cu 0.5000 0.0634 0.7142 x2  2 Cu 2.56

Summary:
Density of states at the Fermi level (states/eV per cell): 11.5
Total moment (μB per formula unit): 0.0



(Q)
The following is a DFT calculation (PBE) of a relaxed structure of Ac3TlCu2.

a b c (Å): 3.8493 3.8493 12.1786
angles (deg): 90.00 90.00 90.00
Last column: nearest neighbours and their distance in Å.
Space group P4/mmm (No. 123)
Inequivalent atoms, fractional coordinates:
Ac 0.0000 0.0000 0.0000 x1  8 Cu 3.31
Ac 0.0000 0.0000 0.3081 x2  4 Cu 3.30, 4 Tl 3.59
Tl 0.5000 0.5000 0.5000 x1  8 Ac 3.59, 4 Tl 3.85
Cu 0.5000 0.5000 0.1550 x2  8 Ac 3.30-3.31

Summary:
Density of states at the Fermi level (states/eV per cell): 5.0
Total moment (μB per formula unit): 0.0



(Q) is favored, and the nearest alternative lies 10 meV per atom above it.



(P)
The following is a DFT calculation (PBE) of a relaxed structure of AcTlCu.

a b c (Å): 4.4500 6.2384 6.7484
angles (deg): 93.62 109.24 110.67
Last column: nearest neighbours and their distance in Å.
Space group P-1 (No. 2)
Inequivalent atoms, fractional coordinates:
Ac 0.2465 0.3146 0.1777 x2  5 Cu 3.22-3.50, 1 Tl 3.60
Tl 0.0948 0.7862 0.4034 x2  3 Cu 2.85-2.92
Cu 0.4579 0.0868 0.8296 x2  1 Cu 2.58, 2 Tl 2.85-2.86

Summary:
Density of states at the Fermi level (states/eV per cell): 4.5
Total moment (μB per formula unit): 0.0



(Q)
The following is a DFT calculation (PBE) of a relaxed structure of AcTlCu.

a b c (Å): 4.8507 4.8507 4.0775
angles (deg): 90.00 90.00 120.00
Last column: nearest neighbours and their distance in Å.
Space group P-6m2 (No. 187)
Inequivalent atoms, fractional coordinates:
Ac 0.0000 0.0000 0.0000 x1  6 Cu 3.46, 6 Tl 3.46
Tl 0.6667 0.3333 0.5000 x1  3 Cu 2.80
Cu 0.3333 0.6667 0.5000 x1  3 Tl 2.80

Summary:
Density of states at the Fermi level (states/eV per cell): 2.9
Total moment (μB per formula unit): 0.0



(P) is favored, and the nearest alternative lies 10 meV per atom above it.



(P)
The following is a DFT calculation (PBE) of a relaxed structure of AcTlCu.

a b c (Å): 8.0288 4.9591 8.0900
angles (deg): 90.00 90.00 90.00
Last column: nearest neighbours and their distance in Å.
Space group Pnma (No. 62)
Inequivalent atoms, fractional coordinates:
Ac 0.0206 0.2500 0.2076 x4  4 Cu 3.28-3.45, 6 Tl 3.39-3.59
Tl 0.1899 0.2500 0.5911 x4  4 Cu 2.83-3.06
Cu 0.1912 0.7500 0.4210 x4  4 Tl 2.83-3.06

Summary:
Density of states at the Fermi level (states/eV per cell): 10.6
Total moment (μB per formula unit): 0.0



(Q)
The following is a DFT calculation (PBE) of a relaxed structure of AcTlCu.

a b c (Å): 7.0439 7.0439 7.0439
angles (deg): 90.00 90.00 90.00
Last column: nearest neighbours and their distance in Å.
Space group F-43m (No. 216)
Inequivalent atoms, fractional coordinates:
Ac 0.0000 0.0000 0.0000 x4  4 Cu 3.05
Tl 0.0000 0.0000 0.5000 x4  4 Cu 3.05
Cu 0.2500 0.2500 0.2500 x4  4 Ac 3.05, 4 Tl 3.05

Summary:
Density of states at the Fermi level (states/eV per cell): 15.9
Total moment (μB per formula unit): 0.0



(P) is favored, and the nearest alternative lies 42 meV per atom above it.



(P)
The following is a DFT calculation (PBE) of a relaxed structure of Ac4TlCu.

a b c (Å): 6.7194 7.5985 8.8452
angles (deg): 90.00 94.65 90.00
Last column: nearest neighbours and their distance in Å.
Space group P2_1/m (No. 11)
Inequivalent atoms, fractional coordinates:
Ac 0.1042 0.2500 0.0757 x2  1 Cu 3.04, 1 Tl 3.39
Ac 0.1382 0.7500 0.3697 x2  1 Cu 3.22, 1 Tl 3.43
Ac 0.3892 0.5026 0.7721 x4  2 Cu 3.04-3.13
Tl 0.2903 0.2500 0.4438 x2  6 Ac 3.39-3.53
Cu 0.3310 0.7500 0.0486 x2  6 Ac 3.04-3.22

Summary:
Density of states at the Fermi level (states/eV per cell): 14.6
Total moment (μB per formula unit): 0.0



(Q)
The following is a DFT calculation (PBE) of a relaxed structure of Ac4TlCu.

a b c (Å): 7.8130 8.2636 7.4969
angles (deg): 90.00 97.12 90.00
Last column: nearest neighbours and their distance in Å.
Space group P2_1/c (No. 14)
Inequivalent atoms, fractional coordinates:
Ac 0.1489 0.1646 0.1805 x4  2 Cu 3.10-3.24
Ac 0.3311 0.6488 0.0948 x4  1 Cu 2.87
Tl 0.5000 0.0000 0.0000 x2  6 Ac 3.30-3.48
Cu 0.0000 0.0000 0.5000 x2  4 Ac 2.87-3.10

Summary:
Density of states at the Fermi level (states/eV per cell): 15.2
Total moment (μB per formula unit): 0.0



(P) is favored, and the nearest alternative lies 95 meV per atom above it.



(P)
The following is a DFT calculation (PBE) of a relaxed structure of AcTmCu2.

a b c (Å): 7.2602 7.2602 7.2602
angles (deg): 90.00 90.00 90.00
Last column: nearest neighbours and their distance in Å.
Space group Fm-3m (No. 225)
Inequivalent atoms, fractional coordinates:
Ac 0.0000 0.0000 0.0000 x4  8 Cu 3.14
Tm 0.0000 0.0000 0.5000 x4  8 Cu 3.14
Cu 0.2500 0.2500 0.2500 x8  4 Ac 3.14, 4 Tm 3.14

Summary:
Density of states at the Fermi level (states/eV per cell): 14.9
Total moment (μB per formula unit): 0.0



(Q)
The following is a DFT calculation (PBE) of a relaxed structure of AcTmCu2.

a b c (Å): 4.7892 4.7892 15.1331
angles (deg): 90.00 90.00 120.00
Last column: nearest neighbours and their distance in Å.
Space group R-3m (No. 166, hexagonal axes)
Inequivalent atoms, fractional coordinates:
Ac 0.0000 0.0000 0.0000 x3  8 Cu 3.09-3.39
Tm 0.0000 0.0000 0.5000 x3  6 Cu 2.82
Cu 0.0000 0.0000 0.2040 x6  3 Tm 2.82, 3 Cu 2.99, 1 Ac 3.09

Summary:
Density of states at the Fermi level (states/eV per cell): 6.4
Total moment (μB per formula unit): 0.0



(R)
The following is a DFT calculation (PBE) of a relaxed structure of AcTmCu2.

a b c (Å): 3.5918 3.5918 7.2428
angles (deg): 90.00 90.00 90.00
Last column: nearest neighbours and their distance in Å.
Space group P4/mmm (No. 123)
Inequivalent atoms, fractional coordinates:
Ac 0.0000 0.0000 0.0000 x1  8 Cu 3.33, 4 Ac 3.59, 2 Tm 3.62
Tm 0.0000 0.0000 0.5000 x1  8 Cu 2.93
Cu 0.5000 0.5000 0.2975 x2  4 Tm 2.93, 1 Cu 2.93

Summary:
Density of states at the Fermi level (states/eV per cell): 2.2
Total moment (μB per formula unit): 0.0



(R) is favored, and the nearest alternative lies 21 meV per atom above it.



(P)
The following is a DFT calculation (PBE) of a relaxed structure of Ac2TmCu.

a b c (Å): 3.8403 3.8403 8.8384
angles (deg): 90.00 90.00 90.00
Last column: nearest neighbours and their distance in Å.
Space group P4/mmm (No. 123)
Inequivalent atoms, fractional coordinates:
Ac 0.0000 0.0000 0.2097 x2  4 Cu 3.29
Tm 0.5000 0.5000 0.5000 x1  8 Ac 3.74, 4 Tm 3.84
Cu 0.5000 0.5000 0.0000 x1  8 Ac 3.29

Summary:
Density of states at the Fermi level (states/eV per cell): 6.0
Total moment (μB per formula unit): 0.0



(Q)
The following is a DFT calculation (PBE) of a relaxed structure of Ac2TmCu.

a b c (Å): 3.7690 3.7690 35.2643
angles (deg): 90.00 90.00 120.00
Last column: nearest neighbours and their distance in Å.
Space group R-3m (No. 166, hexagonal axes)
Inequivalent atoms, fractional coordinates:
Ac 0.0000 0.0000 0.0828 x6  1 Cu 2.92
Tm 0.0000 0.0000 0.5000 x3  6 Ac 3.67, 6 Tm 3.77
Cu 0.0000 0.0000 0.0000 x3  2 Ac 2.92

Summary:
Density of states at the Fermi level (states/eV per cell): 12.4
Total moment (μB per formula unit): 0.0



(P) is favored, and the nearest alternative lies 466 meV per atom above it.



(P)
The following is a DFT calculation (PBE) of a relaxed structure of Ac2YCu.

a b c (Å): 3.7923 3.7923 35.5190
angles (deg): 90.00 90.00 120.00
Last column: nearest neighbours and their distance in Å.
Space group R-3m (No. 166, hexagonal axes)
Inequivalent atoms, fractional coordinates:
Ac 0.0000 0.0000 0.0821 x6  1 Cu 2.92
Y 0.0000 0.0000 0.5000 x3  6 Ac 3.72, 6 Y 3.79
Cu 0.0000 0.0000 0.0000 x3  2 Ac 2.92

Summary:
Density of states at the Fermi level (states/eV per cell): 13.4
Total moment (μB per formula unit): 0.0



(Q)
The following is a DFT calculation (PBE) of a relaxed structure of Ac2YCu.

a b c (Å): 3.8408 3.8408 9.0101
angles (deg): 90.00 90.00 90.00
Last column: nearest neighbours and their distance in Å.
Space group P4/mmm (No. 123)
Inequivalent atoms, fractional coordinates:
Ac 0.0000 0.0000 0.2053 x2  4 Cu 3.29
Y 0.5000 0.5000 0.5000 x1  8 Ac 3.80, 4 Y 3.84
Cu 0.5000 0.5000 0.0000 x1  8 Ac 3.29

Summary:
Density of states at the Fermi level (states/eV per cell): 6.1
Total moment (μB per formula unit): 0.0



(Q) is favored, and the nearest alternative lies 467 meV per atom above it.



(P)
The following is a DFT calculation (PBE) of a relaxed structure of AcY2Cu.

a b c (Å): 3.8384 3.8384 29.6383
angles (deg): 90.00 90.00 120.00
Last column: nearest neighbours and their distance in Å.
Space group R-3m (No. 166, hexagonal axes)
Inequivalent atoms, fractional coordinates:
Ac 0.0000 0.0000 0.0000 x3  6 Ac 3.84, 6 Y 3.84
Y 0.0000 0.0000 0.2276 x6  3 Cu 2.86
Cu 0.0000 0.0000 0.5000 x3  6 Y 2.86

Summary:
Density of states at the Fermi level (states/eV per cell): 18.3
Total moment (μB per formula unit): 0.0



(Q)
The following is a DFT calculation (PBE) of a relaxed structure of AcY2Cu.

a b c (Å): 3.6149 3.6149 9.0131
angles (deg): 90.00 90.00 90.00
Last column: nearest neighbours and their distance in Å.
Space group P4/mmm (No. 123)
Inequivalent atoms, fractional coordinates:
Ac 0.0000 0.0000 0.0000 x1  4 Ac 3.61, 8 Y 3.84
Y 0.5000 0.5000 0.3173 x2  4 Cu 3.04, 1 Y 3.29
Cu 0.0000 0.0000 0.5000 x1  8 Y 3.04

Summary:
Density of states at the Fermi level (states/eV per cell): 4.0
Total moment (μB per formula unit): 0.0



(Q) is favored, and the nearest alternative lies 93 meV per atom above it.



(P)
The following is a DFT calculation (PBE) of a relaxed structure of AcZnCu3.

a b c (Å): 8.9244 4.3850 9.7176
angles (deg): 90.00 90.00 90.00
Last column: nearest neighbours and their distance in Å.
Space group Pnma (No. 62)
Inequivalent atoms, fractional coordinates:
Ac 0.1862 0.2500 0.0070 x4  8 Cu 2.99-3.28
Zn 0.0635 0.2500 0.3734 x4  7 Cu 2.54-2.70
Cu 0.0884 0.2500 0.6501 x4  4 Cu 2.42-2.63, 3 Zn 2.59-2.70
Cu 0.1511 0.7500 0.2326 x4  2 Cu 2.42-2.46, 2 Zn 2.70
Cu 0.1647 0.7500 0.7821 x4  2 Zn 2.54-2.58, 4 Cu 2.63-2.78

Summary:
Density of states at the Fermi level (states/eV per cell): 10.3
Total moment (μB per formula unit): 0.0



(Q)
The following is a DFT calculation (PBE) of a relaxed structure of AcZnCu3.

a b c (Å): 4.4091 4.4091 9.7908
angles (deg): 90.00 90.00 90.00
Last column: nearest neighbours and their distance in Å.
Space group I4mm (No. 107)
Inequivalent atoms, fractional coordinates:
Ac 0.0000 0.0000 0.0000 x2  12 Cu 3.26-3.35, 5 Zn 3.37-3.60
Zn 0.0000 0.0000 0.3680 x2  5 Cu 2.51-2.52
Cu 0.0000 0.0000 0.6251 x2  4 Cu 2.50, 1 Zn 2.52
Cu 0.0000 0.5000 0.2455 x4  2 Cu 2.50, 2 Zn 2.51

Summary:
Density of states at the Fermi level (states/eV per cell): 4.1
Total moment (μB per formula unit): 0.0



(Q) is favored, and the nearest alternative lies 61 meV per atom above it.



(P)
The following is a DFT calculation (PBE) of a relaxed structure of Ac2Zn3Cu2.

a b c (Å): 10.8677 4.3910 7.0779
angles (deg): 90.00 109.05 90.00
Last column: nearest neighbours and their distance in Å.
Space group C2/m (No. 12)
Inequivalent atoms, fractional coordinates:
Ac 0.1690 0.0000 0.2503 x4  4 Cu 3.13-3.40, 6 Zn 3.22-3.45
Zn 0.0000 0.5000 0.5000 x2  2 Zn 2.57, 4 Cu 2.62
Zn 0.0748 0.5000 0.8841 x4  2 Zn 2.57-2.66, 2 Cu 2.67
Cu 0.1034 0.0000 0.6886 x4  4 Zn 2.62-2.67, 1 Cu 2.87

Summary:
Density of states at the Fermi level (states/eV per cell): 9.3
Total moment (μB per formula unit): 0.0



(Q)
The following is a DFT calculation (PBE) of a relaxed structure of Ac2Zn3Cu2.

a b c (Å): 4.1495 20.4071 4.0020
angles (deg): 90.00 90.00 90.00
Last column: nearest neighbours and their distance in Å.
Space group Cmmm (No. 65)
Inequivalent atoms, fractional coordinates:
Ac 0.0000 0.1584 0.0000 x4  6 Cu 3.11-3.27, 5 Zn 3.23-3.47
Zn 0.0000 0.0000 0.0000 x2  8 Zn 3.16, 2 Ac 3.23
Zn 0.0000 0.4363 0.5000 x4  1 Zn 2.60
Cu 0.0000 0.2850 0.5000 x4  2 Cu 2.52

Summary:
Density of states at the Fermi level (states/eV per cell): 9.7
Total moment (μB per formula unit): 0.0



(P) is favored, and the nearest alternative lies 158 meV per atom above it.



(P)
The following is a DFT calculation (PBE) of a relaxed structure of Ac3Zn4Cu4.

a b c (Å): 4.2850 4.5286 12.9629
angles (deg): 82.44 80.57 89.83
Last column: nearest neighbours and their distance in Å.
Space group P-1 (No. 2)
Inequivalent atoms, fractional coordinates:
Ac 0.0000 0.0000 0.0000 x1  4 Cu 3.34-3.35, 8 Zn 3.38-3.40
Ac 0.1544 0.6371 0.6949 x2  7 Cu 3.09-3.44, 6 Zn 3.31-3.45
Zn 0.2953 0.8446 0.4080 x2  5 Cu 2.52-2.60
Zn 0.4471 0.4581 0.1042 x2  2 Cu 2.57-2.60, 1 Zn 2.64
Cu 0.2518 0.3139 0.4964 x2  4 Zn 2.52-2.54, 2 Cu 2.73-2.74
Cu 0.3987 0.9183 0.2024 x2  3 Zn 2.57-2.60

Summary:
Density of states at the Fermi level (states/eV per cell): 8.4
Total moment (μB per formula unit): 0.0



(Q)
The following is a DFT calculation (PBE) of a relaxed structure of Ac3Zn4Cu4.

a b c (Å): 4.1768 4.3564 13.7057
angles (deg): 99.03 98.75 90.14
Last column: nearest neighbours and their distance in Å.
Space group P-1 (No. 2)
Inequivalent atoms, fractional coordinates:
Ac 0.0000 0.0000 0.0000 x1  8 Cu 3.28-3.29, 4 Zn 3.37
Ac 0.1501 0.6485 0.3012 x2  6 Cu 3.25-3.45, 8 Zn 3.31-3.46
Zn 0.2496 0.2518 0.5008 x2  4 Cu 2.54-2.61
Zn 0.4020 0.9027 0.8021 x2  3 Cu 2.57-2.60
Cu 0.3047 0.8056 0.6076 x2  5 Zn 2.54-2.61
Cu 0.4518 0.4529 0.9036 x2  2 Zn 2.57, 1 Cu 2.58

Summary:
Density of states at the Fermi level (states/eV per cell): 6.0
Total moment (μB per formula unit): 0.0



(Q) is favored, and the nearest alternative lies 19 meV per atom above it.



(P)
The following is a DFT calculation (PBE) of a relaxed structure of Ac4ZnCu.

a b c (Å): 3.9021 3.9021 13.5255
angles (deg): 90.00 90.00 90.00
Last column: nearest neighbours and their distance in Å.
Space group P4/mmm (No. 123)
Inequivalent atoms, fractional coordinates:
Ac 0.0000 0.0000 0.1343 x2  4 Cu 3.30, 1 Ac 3.63
Ac 0.5000 0.5000 0.3581 x2  4 Zn 3.36
Zn 0.0000 0.0000 0.5000 x1  8 Ac 3.36
Cu 0.5000 0.5000 0.0000 x1  8 Ac 3.30

Summary:
Density of states at the Fermi level (states/eV per cell): 6.5
Total moment (μB per formula unit): 0.0



(Q)
The following is a DFT calculation (PBE) of a relaxed structure of Ac4ZnCu.

a b c (Å): 7.5901 7.5899 7.6329
angles (deg): 90.00 90.01 90.00
Last column: nearest neighbours and their distance in Å.
Space group Cm (No. 8)
Inequivalent atoms, fractional coordinates:
Ac 0.0000 0.2501 0.0000 x4  2 Cu 3.26-3.27, 2 Zn 3.32
Ac 0.0001 0.2497 0.4887 x4  2 Cu 3.27-3.28, 2 Zn 3.32
Zn 0.2498 0.0000 0.7445 x2  8 Ac 3.32
Cu 0.2508 0.5000 0.2435 x2  8 Ac 3.26-3.28

Summary:
Density of states at the Fermi level (states/eV per cell): 19.2
Total moment (μB per formula unit): 0.0



(P) is favored, and the nearest alternative lies 177 meV per atom above it.